Material: Mg2AgAu7
Method: DFT, GGA-PBE
State: optimized geometry

Properties
energy of formation from the pure elements: -3 kJ per mole of atoms
magnetic moment: 0.00 μB per formula unit
energy: -0.1075 hartree per atom

Structure (CIF):
```
data_Mg2AgAu7
_cell_length_a 7.414
_cell_length_b 14.242
_cell_length_c 4.373
_cell_angle_alpha 90.00
_cell_angle_beta 90.00
_cell_angle_gamma 90.00
_space_group_name_H-M_alt 'C m m m'
_space_group_IT_number 65
_space_group_name_Hall '-C 2 2'
loop_
_atom_site_label
_atom_site_type_symbol
_atom_site_fract_x
_atom_site_fract_y
_atom_site_fract_z
Mg1 Mg 0.000 0.200 0.000
Ag1 Ag 0.000 0.500 0.500
Au1 Au 0.000 0.000 0.000
Au2 Au 0.000 0.307 0.500
Au3 Au 0.189 0.396 0.000
```